# NaSrZr2Ga

A crystal of NaSrZr2Ga relaxed with PBEsol (SCAN, Alexandria via LeMat-Bulk).

Geometry as POSCAR:
```
NaSrZr2Ga
1.0
-2.7454 4.1170 0.0235
-3.7126 -2.4900 2.4861
2.0802 1.3616 4.4702
Ga Zr Sr Na
1 2 1 1
direct
0.5000 0.0000 0.0000
0.0000 0.5000 0.0000
0.0000 0.0000 0.5000
0.5000 0.5000 0.5000
0.0000 0.0000 0.0000
```

Calculated values
- total magnetization (μB/cell) = 0.5
- D(E_F) (states/eV per cell) = 4.74
- formation energy from the elements (eV/atom) = 1.02
- ρ (g cm⁻³) = 4.7
- crystal system = tetragonal

=====

# LiTlAs2

A crystal of LiTlAs2 relaxed with PBEsol (SCAN, Alexandria via LeMat-Bulk).

Geometry as POSCAR:
```
LiTlAs2
1.0
-0.0273 2.8868 -2.3170
1.4417 -2.1258 -2.6656
-5.8052 -1.5700 -1.8877
Tl As Li
1 2 1
direct
0.5000 0.5000 0.5000
0.0000 0.0000 0.1826
0.0000 0.0000 0.8174
0.5000 0.5000 0.0000
```

Calculated values
- total magnetization (μB/cell) = 0.0
- D(E_F) (states/eV per cell) = 1.38
- formation energy from the elements (eV/atom) = -0.16
- ρ (g cm⁻³) = 6.9
- crystal system = tetragonal

=====

# Na4Si23

A crystal of Na4Si23 relaxed with PBEsol (SCAN, Alexandria via LeMat-Bulk).

Geometry as POSCAR:
```
Na4Si23
1.0
-7.6408 6.7112 -0.3410
-3.4801 -4.3937 -8.4925
-5.7485 -6.2605 5.5946
Si Na
46 8
direct
0.5000 0.7500 0.0000
0.1920 0.5000 0.3830
0.8080 0.5000 0.6170
0.3830 0.8080 0.5000
0.1841 0.8159 0.1841
0.6841 0.6841 0.3159
0.6920 0.8830 0.0000
0.1170 0.0000 0.3080
0.6170 0.1920 0.5000
0.8830 0.0000 0.3080
0.0000 0.3080 0.1170
0.3080 0.1170 0.0000
0.6841 0.6841 0.6841
0.0000 0.6920 0.8830
0.2500 0.0000 0.5000
0.8159 0.8159 0.1841
0.5000 0.3830 0.8080
0.1841 0.8159 0.8159
0.3080 0.8830 0.0000
0.0000 0.6920 0.1170
0.8080 0.5000 0.3830
0.0000 0.5000 0.7500
0.6170 0.8080 0.5000
0.5000 0.3830 0.1920
0.7500 0.0000 0.5000
0.3159 0.3159 0.3159
0.0000 0.5000 0.2500
0.5000 0.6170 0.1920
0.6841 0.3159 0.3159
0.1920 0.5000 0.6170
0.3159 0.6841 0.6841
0.5000 0.2500 0.0000
0.8159 0.8159 0.8159
0.5000 0.6170 0.8080
0.8159 0.1841 0.1841
0.6920 0.1170 0.0000
0.3159 0.6841 0.3159
0.6841 0.3159 0.6841
0.8830 0.0000 0.6920
0.0000 0.3080 0.8830
0.3159 0.3159 0.6841
0.3830 0.1920 0.5000
0.8159 0.1841 0.8159
0.1841 0.1841 0.8159
0.1170 0.0000 0.6920
0.1841 0.1841 0.1841
0.0000 0.2500 0.5000
0.5000 0.5000 0.5000
0.7500 0.5000 0.0000
0.5000 0.0000 0.2500
0.2500 0.5000 0.0000
0.0000 0.7500 0.5000
0.0000 0.0000 0.0000
0.5000 0.0000 0.7500
```

Calculated values
- total magnetization (μB/cell) = 0.0
- D(E_F) (states/eV per cell) = 14.52
- formation energy (no corrections) (eV per atom) = 0.018
- ρ (g cm⁻³) = 2.3
- crystal system = cubic